Computed, not measured: an optimized crystal structure of HfZrPt2 at the PBE level of DFT.

Cell and atoms, written as CIF:
```
data_HfZrPt2
_chemical_formula_sum 'Hf1 Zr1 Pt2'
_space_group_name_H-M_alt 'P 1'
_space_group_IT_number 1
_cell_length_a 5.037
_cell_length_b 5.037
_cell_length_c 2.915
_cell_angle_alpha 90.00
_cell_angle_beta 90.00
_cell_angle_gamma 90.00
loop_
_space_group_symop_operation_xyz
'x,y,z'
loop_
_atom_site_label
_atom_site_type_symbol
_atom_site_fract_x
_atom_site_fract_y
_atom_site_fract_z
Hf1 Hf 0.000 0.000 0.000
Zr1 Zr 0.500 0.500 0.000
Pt1 Pt 0.000 0.500 0.500
Pt2 Pt 0.500 0.000 0.500
```

Output
DOS at the Fermi energy: 0.807 states/eV/atom
Calculated volume: 74 Å³/cell
Energy of formation: -0.9481 eV/atom
Space-group type: P4/mmm